This record from the Alexandria database describes Li6In3Pb after structural relaxation. The functional is PBE-GGA.

Output
N(E_F): 6.607 states/eV per cell
energy: -52.4 eV per cell
magnetic moment: 0.0 μB/cell

Unit cell a=8.1636 b=4.8245 c=10.7542 alpha=90.00 beta=111.81 gamma=90.00
Last column: nearest neighbours and their distance in Å.
Space group P2_1/m (No. 11)
Inequivalent atoms, fractional coordinates:
Li 0.0371 0.2500 0.4244 (multiplicity 2)  4 In 2.89-3.00, 1 Pb 2.94, 7 Li 2.96-3.24
Li 0.1396 0.2500 0.7249 (multiplicity 2)  8 Li 2.96-3.10, 2 Pb 3.00, 2 In 3.04-3.13
Li 0.1580 0.7500 0.1708 (multiplicity 2)  5 Li 3.01-3.16, 4 In 3.02-3.12, 3 Pb 3.02-3.07
Li 0.2282 0.2500 0.0310 (multiplicity 2)  3 Pb 2.96-3.08, 4 In 3.01-3.09, 5 Li 3.01-3.15
Li 0.3743 0.7500 0.7725 (multiplicity 2)  5 In 2.87-3.14, 1 Pb 2.96, 5 Li 3.00-3.15
Li 0.4461 0.2500 0.6255 (multiplicity 2)  7 In 2.91-3.08, 5 Li 3.06-3.23
In 0.2506 0.7500 0.4800 (multiplicity 2)  9 Li 2.89-3.13, 3 In 3.13-3.20
In 0.3406 0.2500 0.3307 (multiplicity 2)  8 Li 2.91-3.02, 3 In 3.13-3.20
In 0.4771 0.7500 0.0848 (multiplicity 2)  9 Li 2.87-3.14, 2 In 3.13, 1 Pb 3.22
Pb 0.0790 0.7500 0.8688 (multiplicity 2)  10 Li 2.94-3.08, 1 In 3.22